# NpMn2InO6, relaxed, DFT PBE+U
data_NpMn2InO6
_chemical_formula_sum 'Np1 Mn2 In1 O6'
_symmetry_space_group_name_H-M 'P 1'
_symmetry_Int_Tables_number 1
_cell_length_a 5.549
_cell_length_b 5.549
_cell_length_c 5.907
_cell_angle_alpha 61.98
_cell_angle_beta 61.98
_cell_angle_gamma 60.00
loop_
_symmetry_equiv_pos_as_xyz
'x,y,z'
loop_
_atom_site_label
_atom_site_fract_x
_atom_site_fract_y
_atom_site_fract_z
_atom_site_occupancy
In1 0.814 0.814 0.559 1
O1 0.925 0.603 0.259 1
O2 0.420 0.706 0.764 1
O3 0.706 0.109 0.764 1
Np1 0.317 0.317 0.049 1
Mn1 0.529 0.528 0.414 1
O4 0.603 0.213 0.258 1
O5 0.213 0.925 0.258 1
Mn2 0.025 0.025 0.926 1
O6 0.109 0.420 0.764 1
# Final energy, eV per atom: -8.089
# Spin magnetization, μB per cell: 12.00
# Space group: R3, No. 146
# Density, g/cm3: 7.00